[1]
BaCo2Ni | PBE | optimized geometry

The structure belongs to space group F-43m (No. 216); the cell edges are 6.5678, 6.5678 and 6.5678 Å and the angles 90.00°, 90.00° and 90.00°. The inequivalent atoms are Ba at (0.0000, 0.0000, 0.0000), Co at (0.0000, 0.0000, 0.5000), Co at (0.2500, 0.2500, 0.2500) and Ni at (0.2500, 0.2500, 0.7500).

As for the density of states at the Fermi level: 24.32 states/eV/cell. As for the volume: 283.3 Å³ per cell. Its electronic total energy is -72.4 eV/cell. The energy above the most stable polymorph in this dataset comes out at 0.8004 eV/atom. For the formation enthalpy at 0 K, the calculation gives 22.06 kcal/mol of atoms.

***

[2]
Ta2RePt | PBE | optimized geometry

The structure belongs to space group Immm (No. 71); the cell edges are 2.7265, 5.0754 and 10.3608 Å and the angles 90.00°, 90.00° and 90.00°. The inequivalent atoms are Ta at (0.0000, 0.0000, 0.2482), Re at (0.0000, 0.0000, 0.5000) and Pt at (0.0000, 0.0000, 0.0000).

As for the density of states at the Fermi level: 6.44 states/eV/cell. As for the volume: 143.4 Å³ per cell. Its electronic total energy is -79.9 eV/cell. For the formation enthalpy at 0 K, the calculation gives 12.84 kcal/mol of atoms.